No. 1
VASP calculation (PBE) on a geometry-optimized MgTiSnAu structure.

a b c (Å): 6.768 6.768 6.768
angles (deg): 90.00 90.00 90.00
Space group F-43m (No. 216)
Inequivalent atoms, fractional coordinates:
Mg1 0.000 0.000 0.000
Ti1 0.000 0.000 0.500
Sn1 0.250 0.250 0.750
Au1 0.250 0.250 0.250

Total magnetic moment   0.30 μB/atom


No. 2
VASP calculation (PBE) on a geometry-optimized TmMg2SnAu4 structure.

a b c (Å): 4.7624 4.7624 24.9151
angles (deg): 90.00 90.00 120.00
Space group R-3m (No. 166, hexagonal axes)
Inequivalent atoms, fractional coordinates:
Tm1 0.0000 0.0000 0.0000
Mg1 0.0000 0.0000 0.2488
Sn1 0.0000 0.0000 0.5000
Au1 0.0000 0.0000 0.1182
Au2 0.0000 0.0000 0.3750

Total magnetic moment   0.00 μB/atom


No. 3
VASP calculation (PBE) on a geometry-optimized Y2MgSnAu structure.

a b c (Å): 5.548 5.548 5.199
angles (deg): 90.00 90.00 90.00
Space group P4/mmm (No. 123)
Inequivalent atoms, fractional coordinates:
Y1 0.000 0.500 0.000
Mg1 0.000 0.000 0.500
Sn1 0.500 0.500 0.500
Au1 0.500 0.500 0.000

Total magnetic moment   0.00 μB/atom


No. 4
VASP calculation (PBE) on a geometry-optimized Mg2ZnSnAu4 structure.

a b c (Å): 4.6707 4.6707 23.5637
angles (deg): 90.00 90.00 120.00
Space group R-3m (No. 166, hexagonal axes)
Inequivalent atoms, fractional coordinates:
Mg1 0.0000 0.0000 0.2488
Zn1 0.0000 0.0000 0.5000
Sn1 0.0000 0.0000 0.0000
Au1 0.0000 0.0000 0.1322
Au2 0.0000 0.0000 0.3830

Total magnetic moment   0.00 μB/atom


No. 5
VASP calculation (PBE) on a geometry-optimized MgZn2SnAu4 structure.

a b c (Å): 4.5204 4.5204 25.2908
angles (deg): 90.00 90.00 120.00
Space group R-3m (No. 166, hexagonal axes)
Inequivalent atoms, fractional coordinates:
Mg1 0.0000 0.0000 0.0000
Zn1 0.0000 0.0000 0.2623
Sn1 0.0000 0.0000 0.5000
Au1 0.0000 0.0000 0.1112
Au2 0.0000 0.0000 0.3762

Total magnetic moment   0.00 μB/atom


No. 6
VASP calculation (PBE) on a geometry-optimized SrMg2Au structure.

a b c (Å): 4.324 4.725 5.857
angles (deg): 90.00 107.11 90.00
Space group P2/m (No. 10)
Inequivalent atoms, fractional coordinates:
Sr1 0.000 0.000 0.000
Mg1 0.359 0.500 0.701
Au1 0.500 0.000 0.500

Total magnetic moment   0.00 μB/atom


No. 7
VASP calculation (PBE) on a geometry-optimized SrMg3Au3 structure.

a b c (Å): 9.0014 9.0014 4.6610
angles (deg): 90.00 90.00 120.00
Space group P6_3/m (No. 176)
Inequivalent atoms, fractional coordinates:
Sr1 0.3333 0.6667 0.2500
Mg1 0.0309 0.2716 0.7500
Au1 0.0491 0.6193 0.7500

Offset from the most stable computed form   0.0 meV per atom
Total magnetic moment   0.00 μB/atom


No. 8
VASP calculation (PBE) on a geometry-optimized Sr2MgAu structure.

a b c (Å): 7.682 7.682 7.682
angles (deg): 90.00 90.00 90.00
Space group F-43m (No. 216)
Inequivalent atoms, fractional coordinates:
Sr1 0.000 0.000 0.000
Sr2 0.250 0.250 0.250
Mg1 0.000 0.000 0.500
Au1 0.250 0.250 0.750

Total magnetic moment   0.00 μB/atom


Number 1: energy -0.325 Ry per atom. Number 2: energy -0.269 Ry per atom. Number 3: energy -0.322 Ry per atom. Number 4: energy -0.225 Ry per atom. Number 5: energy -0.214 Ry per atom. Number 6: energy -0.171 Ry per atom. Number 7: energy -0.211 Ry per atom. Number 8: energy -0.164 Ry per atom.